Compound: Cs3LaAs2O8
Source: Alexandria
Functional: PBE-GGA
Structure: optimized geometry

- Energy: -6.035 eV/atom
- Magnetization: 0.00 Bohr magnetons per cell
- Crystal system: trigonal
- Formation energy without anion corrections: -2.003 eV per atom

Cell: 6.2231 6.2231 8.7544 Å, 90.00 90.00 120.00°
Space group P-3m1 (No. 164)
Asymmetric unit:
Cs: 0.0000 0.0000 0.0000 x1
Cs: 0.3333 0.6667 0.7490 x2
La: 0.0000 0.0000 0.5000 x1
As: 0.3333 0.6667 0.2725 x2
O: 0.1819 0.3638 0.3411 x6
O: 0.3333 0.6667 0.0789 x2